Nb3GaW | GGA-PBE | relaxed

Results
For the formation energy, the calculation gives 1.29 eV/atom. The value obtained for the energy above the lowest structure with this stoichiometry is 0 meV per atom.

```
Nb3GaW
1.0
4.873 0.000 0.000
0.000 4.873 0.000
0.000 0.000 4.873
Nb Ga W
3 1 1
direct
0.000 0.000 0.500
0.000 0.500 0.000
0.500 0.000 0.000
0.500 0.500 0.500
0.000 0.000 0.000
```